# PuAl3Fe

A relaxed structure of PuAl3Fe (PBE-GGA, the Alexandria database).

* energy of formation: -0.128 eV/atom
* ΔE to the lowest computed polymorph: 9.5 kJ per mole of atoms
* DOS at the Fermi energy: 22.6 states/eV/cell

abc: 8.205 3.260 11.718
angles: 90.00 90.00 90.00
Fractional positions:
Pu1 0.103 0.250 0.009
Pu2 0.397 0.750 0.509
Pu3 0.603 0.250 0.491
Pu4 0.897 0.750 0.991
Al1 0.065 0.250 0.424
Al2 0.082 0.750 0.232
Al3 0.170 0.750 0.784
Al4 0.330 0.250 0.284
Al5 0.418 0.250 0.732
Al6 0.435 0.750 0.924
Al7 0.565 0.250 0.076
Al8 0.582 0.750 0.268
Al9 0.670 0.750 0.716
Al10 0.830 0.250 0.216
Al11 0.918 0.250 0.768
Al12 0.935 0.750 0.576
Fe1 0.159 0.250 0.627
Fe2 0.341 0.750 0.127
Fe3 0.659 0.250 0.873
Fe4 0.841 0.750 0.373

=====

# PuAl2Fe

A relaxed structure of PuAl2Fe (PBE-GGA, the Alexandria database).

* energy of formation: -0.270 eV/atom
* DOS at the Fermi energy: 6.3 states/eV/cell

abc: 2.931 2.931 7.494
angles: 90.00 90.00 90.00
Fractional positions:
Pu1 0.000 0.000 0.000
Al1 0.500 0.500 0.319
Al2 0.500 0.500 0.681
Fe1 0.000 0.000 0.500

=====

# Pu2Al9Fe3

A relaxed structure of Pu2Al9Fe3 (PBE-GGA, the Alexandria database).

* energy of formation: -0.314 eV/atom
* DOS at the Fermi energy: 42.8 states/eV/cell

abc: 7.530 7.530 10.290
angles: 112.08 112.08 59.08
Fractional positions:
Pu1 0.093 0.250 0.248
Pu2 0.250 0.093 0.748
Pu3 0.750 0.907 0.252
Pu4 0.907 0.750 0.752
Al1 0.022 0.860 0.076
Al2 0.140 0.978 0.424
Al3 0.190 0.362 0.569
Al4 0.212 0.577 0.251
Al5 0.316 0.490 0.954
Al6 0.353 0.647 0.750
Al7 0.362 0.190 0.069
Al8 0.423 0.788 0.249
Al9 0.490 0.316 0.454
Al10 0.510 0.684 0.546
Al11 0.577 0.212 0.751
Al12 0.638 0.810 0.931
Al13 0.647 0.353 0.250
Al14 0.684 0.510 0.046
Al15 0.788 0.423 0.749
Al16 0.810 0.638 0.431
Al17 0.860 0.022 0.576
Al18 0.978 0.140 0.924
Fe1 0.000 0.500 0.000
Fe2 0.153 0.670 0.493
Fe3 0.330 0.847 0.007
Fe4 0.500 0.000 0.500
Fe5 0.670 0.153 0.993
Fe6 0.847 0.330 0.507

=====

# PuAlFeSi2

A relaxed structure of PuAlFeSi2 (PBE-GGA, the Alexandria database).

* E: -7.840 eV per atom
* DOS at the Fermi energy: 18.6 states/eV/cell

abc: 5.308 5.496 5.534
angles: 90.00 90.00 90.00
Fractional positions:
Pu1 0.250 0.000 0.239
Pu2 0.750 0.000 0.761
Al1 0.250 0.500 0.366
Al2 0.750 0.500 0.634
Fe1 0.000 0.500 0.000
Fe2 0.500 0.500 0.000
Si1 0.250 0.244 0.756
Si2 0.250 0.756 0.756
Si3 0.750 0.244 0.244
Si4 0.750 0.756 0.244

=====

# Pu2AlFe5Si2

A relaxed structure of Pu2AlFe5Si2 (PBE-GGA, the Alexandria database).

* E: -8.727 eV per atom
* DOS at the Fermi energy: 40.5 states/eV/cell

abc: 9.487 9.487 3.220
angles: 90.00 90.00 90.00
Fractional positions:
Pu1 0.176 0.324 0.000
Pu2 0.324 0.824 0.000
Pu3 0.676 0.176 0.000
Pu4 0.824 0.676 0.000
Al1 0.000 0.000 0.000
Al2 0.500 0.500 0.000
Fe1 0.000 0.500 0.500
Fe2 0.066 0.789 0.500
Fe3 0.211 0.066 0.500
Fe4 0.289 0.566 0.500
Fe5 0.434 0.289 0.500
Fe6 0.500 0.000 0.500
Fe7 0.566 0.711 0.500
Fe8 0.711 0.434 0.500
Fe9 0.789 0.934 0.500
Fe10 0.934 0.211 0.500
Si1 0.122 0.622 0.000
Si2 0.378 0.122 0.000
Si3 0.622 0.878 0.000
Si4 0.878 0.378 0.000

=====

# PuAlZnFe

A relaxed structure of PuAlZnFe (PBE-GGA, the Alexandria database).

* energy of formation: -0.012 eV/atom
* DOS at the Fermi energy: 32.2 states/eV/cell

abc: 6.507 6.507 6.507
angles: 90.00 90.00 90.00
Fractional positions:
Pu1 0.000 0.000 0.000
Pu2 0.000 0.500 0.500
Pu3 0.500 0.000 0.500
Pu4 0.500 0.500 0.000
Al1 0.000 0.000 0.500
Al2 0.000 0.500 0.000
Al3 0.500 0.000 0.000
Al4 0.500 0.500 0.500
Zn1 0.250 0.250 0.750
Zn2 0.250 0.750 0.250
Zn3 0.750 0.250 0.250
Zn4 0.750 0.750 0.750
Fe1 0.250 0.250 0.250
Fe2 0.250 0.750 0.750
Fe3 0.750 0.250 0.750
Fe4 0.750 0.750 0.250

=====

# RbAl2Fe

A relaxed structure of RbAl2Fe (PBE-GGA, the Alexandria database).

* energy of formation: 1.147 eV/atom
* ΔE to the lowest computed polymorph: 57.5 kJ per mole of atoms
* DOS at the Fermi energy: 38.4 states/eV/cell

abc: 6.861 6.861 6.861
angles: 90.00 90.00 90.00
Fractional positions:
Rb1 0.000 0.000 0.000
Rb2 0.000 0.500 0.500
Rb3 0.500 0.000 0.500
Rb4 0.500 0.500 0.000
Al1 0.250 0.250 0.250
Al2 0.250 0.250 0.750
Al3 0.250 0.750 0.250
Al4 0.250 0.750 0.750
Al5 0.750 0.250 0.250
Al6 0.750 0.250 0.750
Al7 0.750 0.750 0.250
Al8 0.750 0.750 0.750
Fe1 0.000 0.000 0.500
Fe2 0.000 0.500 0.000
Fe3 0.500 0.000 0.000
Fe4 0.500 0.500 0.500

=====

# RbAl3Fe

A relaxed structure of RbAl3Fe (PBE-GGA, the Alexandria database).

* energy of formation: 0.031 eV/atom
* ΔE to the lowest computed polymorph: 0.0 kJ per mole of atoms
* DOS at the Fermi energy: 0.1 states/eV/cell

abc: 4.726 4.726 4.726
angles: 90.00 90.00 90.00
Fractional positions:
Rb1 0.000 0.000 0.000
Al1 0.000 0.500 0.500
Al2 0.500 0.000 0.500
Al3 0.500 0.500 0.000
Fe1 0.500 0.500 0.500

=====

- Which value of DOS at the Fermi energy does entry 4 give?
  18.6 states/eV/cell

=====

- The highest DOS at the Fermi energy belongs to which entry?
  Pu2Al9Fe3

=====

- Which value of DOS at the Fermi energy does entry 6 give?
  32.2 states/eV/cell